1.
VASP calculation (PBE) on a geometry-optimized TbCu5Au structure.

Lattice parameters (Å, degrees): 5.0495 8.1508 10.3237 90.00 90.00 90.00
Last column: nearest neighbours and their distance in Å.
Fractional coordinates of all 28 atoms:
Tb  0.2500  0.2416  0.9349  12 Cu 2.91-3.21, 2 Au 3.19-3.21
Tb  0.7500  0.2584  0.4349  12 Cu 2.91-3.21, 2 Au 3.19-3.21
Tb  0.2500  0.7416  0.5651  12 Cu 2.91-3.21, 2 Au 3.19-3.21
Tb  0.7500  0.7584  0.0651  12 Cu 2.91-3.21, 2 Au 3.19-3.21
Cu  0.2500  0.5909  0.0175  5 Cu 2.46-2.51, 1 Au 2.74
Cu  0.7500  0.9091  0.5175  5 Cu 2.46-2.51, 1 Au 2.74
Cu  0.2500  0.0909  0.4825  5 Cu 2.46-2.51, 1 Au 2.74
Cu  0.7500  0.4091  0.9825  5 Cu 2.46-2.51, 1 Au 2.74
Cu  0.7500  0.3146  0.7522  7 Cu 2.48-2.57
Cu  0.2500  0.1854  0.2522  7 Cu 2.48-2.57
Cu  0.7500  0.8146  0.7478  7 Cu 2.48-2.57
Cu  0.2500  0.6854  0.2478  7 Cu 2.48-2.57
Cu  0.2500  0.9429  0.1044  4 Cu 2.50-2.57, 1 Au 2.60
Cu  0.7500  0.5571  0.6044  4 Cu 2.50-2.57, 1 Au 2.60
Cu  0.2500  0.4429  0.3956  4 Cu 2.50-2.57, 1 Au 2.60
Cu  0.7500  0.0571  0.8956  4 Cu 2.50-2.57, 1 Au 2.60
Cu  0.9981  0.4332  0.1864  7 Cu 2.46-2.54
Cu  0.0019  0.0668  0.6864  7 Cu 2.46-2.54
Cu  0.5019  0.9332  0.3136  7 Cu 2.46-2.54
Cu  0.4981  0.5668  0.8136  7 Cu 2.46-2.54
Cu  0.0019  0.5668  0.8136  7 Cu 2.46-2.54
Cu  0.9981  0.9332  0.3136  7 Cu 2.46-2.54
Cu  0.4981  0.0668  0.6864  7 Cu 2.46-2.54
Cu  0.5019  0.4332  0.1864  7 Cu 2.46-2.54
Au  0.2500  0.8622  0.8610  8 Cu 2.60-2.81
Au  0.7500  0.6378  0.3610  8 Cu 2.60-2.81
Au  0.2500  0.3622  0.6390  8 Cu 2.60-2.81
Au  0.7500  0.1378  0.1390  8 Cu 2.60-2.81

Output
- Theoretical density: 10.5 g/cm³
- Formation enthalpy at 0 K: -1.84 eV per formula unit
- Crystal system: orthorhombic

---

2.
VASP calculation (PBE) on a geometry-optimized BaSmRh2 structure.

Lattice parameters (Å, degrees): 3.5636 3.5636 7.6377 90.00 90.00 90.00
Last column: nearest neighbours and their distance in Å.
Fractional coordinates of all 4 atoms:
Rh  0.0000  0.0000  0.7935  4 Sm 2.97, 1 Rh 3.15
Rh  0.0000  0.0000  0.2065  4 Sm 2.97, 1 Rh 3.15
Ba  0.5000  0.5000  0.5000  8 Rh 3.37, 4 Ba 3.56
Sm  0.5000  0.5000  0.0000  8 Rh 2.97

Output
- Theoretical density: 8.4 g/cm³
- Formation enthalpy at 0 K: -1.38 eV per formula unit
- Crystal system: tetragonal

---

3.
VASP calculation (PBE) on a geometry-optimized Na2ZnIn6 structure.

Lattice parameters (Å, degrees): 6.0562 6.7781 6.7781 59.97 90.00 90.00
Last column: nearest neighbours and their distance in Å.
Fractional coordinates of all 9 atoms:
Na  0.8249  0.6671  0.6671  12 In 3.44-3.62
Na  0.1751  0.3329  0.3329  12 In 3.44-3.62
Zn  0.0000  0.0000  0.0000  6 In 2.80
In  0.3094  0.3546  0.8214  1 Zn 2.80, 2 In 3.10-3.12
In  0.3080  0.8216  0.8216  1 Zn 2.80, 2 In 3.12
In  0.3094  0.8214  0.3546  1 Zn 2.80, 2 In 3.10-3.12
In  0.6906  0.6454  0.1786  1 Zn 2.80, 2 In 3.10-3.12
In  0.6920  0.1784  0.1784  1 Zn 2.80, 2 In 3.12
In  0.6906  0.1786  0.6454  1 Zn 2.80, 2 In 3.10-3.12

Output
- Theoretical density: 5.5 g/cm³
- Formation enthalpy at 0 K: -0.43 eV per formula unit
- E above lowest polymorph: 0.00 kJ per mole of atoms
- Crystal system: monoclinic